Record 1
The following is a PBE-GGA calculation of KPaPdI6 after structural relaxation, from Alexandria.

Results
calculated total energy: -3.605 eV/atom
total magnetization: 0.16 μB/cell
energy relative to the elements, uncorrected: -0.82 eV per atom

Cell lengths 7.4564, 7.4564, 16.6970 Å; angles 90.00, 90.00, 120.00 degrees
Positions (direct):
K 0.0000 0.0000 0.0000
K 0.0000 0.0000 0.5000
Pa 0.3333 0.6667 0.2500
Pa 0.6667 0.3333 0.7500
Pd 0.3333 0.6667 0.7500
Pd 0.6667 0.3333 0.2500
I 0.0020 0.3502 0.6457
I 0.0020 0.6518 0.8543
I 0.3482 0.3502 0.8543
I 0.3482 0.9980 0.6457
I 0.3502 0.0020 0.1457
I 0.3502 0.3482 0.3543
I 0.6498 0.6518 0.6457
I 0.6498 0.9980 0.8543
I 0.6518 0.0020 0.3543
I 0.6518 0.6498 0.1457
I 0.9980 0.3482 0.1457
I 0.9980 0.6498 0.3543

***

Record 2
The following is a PBE-GGA calculation of Ga3ICl after structural relaxation, from Alexandria.

Results
calculated total energy: -2.225 eV/atom
total magnetization: 0.00 μB/cell
energy relative to the elements, uncorrected: 0.27 eV per atom

Cell lengths 6.0964, 6.0964, 6.0964 Å; angles 90.00, 90.00, 90.00 degrees
Positions (direct):
Ga 0.0000 0.0000 0.5000
Ga 0.0000 0.5000 0.0000
Ga 0.5000 0.0000 0.0000
I 0.0000 0.0000 0.0000
Cl 0.5000 0.5000 0.5000

***

Record 3
The following is a PBE-GGA calculation of Y2AlRh4 after structural relaxation, from Alexandria.

Results
calculated total energy: -6.949 eV/atom
DFT formation energy: -0.367 eV/atom
total magnetization: 0.00 μB/cell

Cell lengths 7.6387, 7.6387, 7.6387 Å; angles 145.83, 145.83, 49.10 degrees
Positions (direct):
Y 0.1389 0.1389 0.0000
Y 0.8611 0.8611 0.0000
Al 0.5000 0.5000 0.0000
Rh 0.0000 0.5000 0.5000
Rh 0.3317 0.3317 0.0000
Rh 0.5000 0.0000 0.5000
Rh 0.6683 0.6683 0.0000

***

Record 4
The following is a PBE-GGA calculation of PrBe4Pb3O12 after structural relaxation, from Alexandria.

Results
calculated total energy: -6.265 eV/atom
total magnetization: 1.12 μB/cell
energy relative to the elements, uncorrected: -1.75 eV per atom

Cell lengths 6.6247, 6.6247, 6.6247 Å; angles 104.29, 104.29, 104.29 degrees
Positions (direct):
Pr 0.0000 0.0000 0.0000
Be 0.0558 0.5000 0.9442
Be 0.5000 0.5000 0.5000
Be 0.5000 0.9442 0.0558
Be 0.9442 0.0558 0.5000
Pb 0.0000 0.5475 0.4525
Pb 0.4525 0.0000 0.5475
Pb 0.5475 0.4525 0.0000
O 0.0286 0.6465 0.7970
O 0.0922 0.9078 0.5000
O 0.2030 0.3535 0.9714
O 0.3534 0.6466 0.5000
O 0.3535 0.9714 0.2030
O 0.5000 0.0922 0.9078
O 0.5000 0.3534 0.6466
O 0.6466 0.5000 0.3534
O 0.6465 0.7970 0.0286
O 0.7970 0.0286 0.6465
O 0.9078 0.5000 0.0922
O 0.9714 0.2030 0.3535

***

Record 5
The following is a PBE-GGA calculation of AgOsN2F after structural relaxation, from Alexandria.

Results
calculated total energy: -6.181 eV/atom
total magnetization: 0.28 μB/cell
energy relative to the elements, uncorrected: 0.34 eV per atom

Cell lengths 3.8174, 3.8174, 4.4737 Å; angles 90.00, 90.00, 90.00 degrees
Positions (direct):
Ag 0.0000 0.0000 0.0000
Os 0.5000 0.5000 0.5000
N 0.0000 0.5000 0.5000
N 0.5000 0.0000 0.5000
F 0.5000 0.5000 0.0000

***

Record 6
The following is a PBE-GGA calculation of YSc2Be after structural relaxation, from Alexandria.

Results
calculated total energy: -5.515 eV/atom
DFT formation energy: 0.198 eV/atom
total magnetization: 0.27 μB/cell

Cell lengths 4.4020, 4.4020, 4.5441 Å; angles 90.00, 90.00, 90.00 degrees
Positions (direct):
Y 0.0000 0.0000 0.0000
Sc 0.0000 0.5000 0.5000
Sc 0.5000 0.0000 0.5000
Be 0.5000 0.5000 0.0000

***

Record 7
The following is a PBE-GGA calculation of MgZr3Cd6 after structural relaxation, from Alexandria.

Results
calculated total energy: -3.365 eV/atom
DFT formation energy: -0.092 eV/atom
total magnetization: 0.00 μB/cell

Cell lengths 9.5603, 4.4747, 10.1047 Å; angles 90.00, 93.39, 90.00 degrees
Positions (direct):
Mg 0.0515 0.2500 0.3958
Mg 0.9485 0.7500 0.6042
Zr 0.2505 0.2500 0.9861
Zr 0.3523 0.7500 0.7895
Zr 0.4505 0.2500 0.5944
Zr 0.5495 0.7500 0.4056
Zr 0.6477 0.2500 0.2105
Zr 0.7495 0.7500 0.0139
Cd 0.0498 0.7500 0.8938
Cd 0.1466 0.2500 0.6888
Cd 0.1468 0.7500 0.1916
Cd 0.2418 0.7500 0.4944
Cd 0.3433 0.2500 0.2937
Cd 0.4459 0.7500 0.0980
Cd 0.5541 0.2500 0.9020
Cd 0.6567 0.7500 0.7063
Cd 0.7582 0.2500 0.5056
Cd 0.8532 0.2500 0.8084
Cd 0.8534 0.7500 0.3112
Cd 0.9502 0.2500 0.1062

***

Record 8
The following is a PBE-GGA calculation of FeCl3 after structural relaxation, from Alexandria.

Results
calculated total energy: -4.139 eV/atom
total magnetization: 5.75 μB/cell
energy relative to the elements, uncorrected: -0.64 eV per atom

Cell lengths 5.9697, 5.9697, 19.4761 Å; angles 90.00, 90.00, 120.00 degrees
Positions (direct):
Fe 0.0000 0.0000 0.0000
Fe 0.0000 0.0000 0.3315
Fe 0.0000 0.0000 0.6685
Fe 0.3333 0.6667 0.3316
Fe 0.3333 0.6667 0.6684
Fe 0.6667 0.3333 0.0000
Cl 0.0379 0.3333 0.6029
Cl 0.0379 0.7046 0.3971
Cl 0.0397 0.3334 0.2664
Cl 0.0397 0.7062 0.7336
Cl 0.2938 0.3334 0.7336
Cl 0.2938 0.9603 0.2664
Cl 0.2954 0.3333 0.3971
Cl 0.2954 0.9621 0.6029
Cl 0.3334 0.0192 0.9279
Cl 0.3334 0.3142 0.0721
Cl 0.6667 0.7046 0.6029
Cl 0.6666 0.7062 0.2664
Cl 0.6666 0.9603 0.7336
Cl 0.6667 0.9621 0.3971
Cl 0.6858 0.0192 0.0721
Cl 0.6858 0.6666 0.9279
Cl 0.9808 0.3142 0.9279
Cl 0.9808 0.6666 0.0721

***

Record 9
The following is a PBE-GGA calculation of Li2Ga4Hg after structural relaxation, from Alexandria.

Results
calculated total energy: -2.414 eV/atom
DFT formation energy: -0.094 eV/atom
total magnetization: 0.00 μB/cell

Cell lengths 6.0310, 6.0310, 9.5640 Å; angles 90.00, 90.00, 53.06 degrees
Positions (direct):
Li 0.1428 0.1428 0.0000
Li 0.3572 0.3572 0.5000
Li 0.6428 0.6428 0.5000
Li 0.8572 0.8572 0.0000
Ga 0.9998 0.5002 0.2500
Ga 0.0002 0.4998 0.7500
Ga 0.2489 0.7511 0.7502
Ga 0.2511 0.7489 0.2502
Ga 0.4998 0.0002 0.2500
Ga 0.5002 0.9998 0.7500
Ga 0.7489 0.2511 0.7498
Ga 0.7511 0.2489 0.2498
Hg 0.0000 0.0000 0.5000
Hg 0.5000 0.5000 0.0000

***

Record 10
The following is a PBE-GGA calculation of LaHo8Ir6 after structural relaxation, from Alexandria.

Results
calculated total energy: -7.100 eV/atom
DFT formation energy: -0.786 eV/atom
total magnetization: 0.00 μB/cell

Cell lengths 7.6720, 7.6720, 7.6720 Å; angles 65.50, 65.50, 65.50 degrees
Positions (direct):
La 0.0000 0.0000 0.0000
Ho 0.1067 0.7730 0.4582
Ho 0.2270 0.5418 0.8933
Ho 0.3362 0.3362 0.3362
Ho 0.4582 0.1067 0.7730
Ho 0.5418 0.8933 0.2270
Ho 0.6638 0.6638 0.6638
Ho 0.7730 0.4582 0.1067
Ho 0.8933 0.2270 0.5418
Ir 0.0587 0.3920 0.7224
Ir 0.2776 0.9413 0.6080
Ir 0.3920 0.7224 0.0587
Ir 0.6080 0.2776 0.9413
Ir 0.7224 0.0587 0.3920
Ir 0.9413 0.6080 0.2776

***

Record 11
The following is a PBE-GGA calculation of TbPr2Dy2Tm after structural relaxation, from Alexandria.

Results
calculated total energy: -4.579 eV/atom
DFT formation energy: 0.065 eV/atom
total magnetization: 0.00 μB/cell

Cell lengths 7.0403, 5.6697, 9.8265 Å; angles 90.00, 90.00, 90.00 degrees
Positions (direct):
Tb 0.2500 0.0000 0.1574
Tb 0.7500 0.0000 0.8426
Pr 0.0000 0.0000 0.5000
Pr 0.2500 0.5000 0.6794
Pr 0.5000 0.0000 0.5000
Pr 0.7500 0.5000 0.3206
Dy 0.2500 0.0000 0.8326
Dy 0.2500 0.5000 0.3359
Dy 0.7500 0.0000 0.1674
Dy 0.7500 0.5000 0.6641
Tm 0.0000 0.5000 0.0000
Tm 0.5000 0.5000 0.0000

***

Record 12
The following is a PBE-GGA calculation of KGeP2S after structural relaxation, from Alexandria.

Results
calculated total energy: -2.384 eV/atom
total magnetization: 0.90 μB/cell
energy relative to the elements, uncorrected: 1.75 eV per atom

Cell lengths 5.2139, 5.2139, 5.2992 Å; angles 90.00, 90.00, 90.00 degrees
Positions (direct):
K 0.0000 0.0000 0.0000
Ge 0.5000 0.5000 0.5000
P 0.0000 0.5000 0.0000
P 0.5000 0.0000 0.0000
S 0.0000 0.0000 0.5000